Record 1
## KYPb2 (GGA-PBE)

Data for a relaxed KYPb2 crystal.

The space group is I-42d (No. 122) and the conventional cell measures 5.635, 5.635 and 20.955 Å, with angles of 90.00, 90.00 and 90.00 degrees. Symmetry generates all atoms from K at (0.000, 0.000, 0.000), Y at (0.000, 0.000, 0.500) and Pb at (0.159, 0.250, 0.625).

The value obtained for the offset from the most stable computed form is 445 meV/atom.

Record 2
## K4YPb (GGA-PBE)

Data for a relaxed K4YPb crystal.

The space group is F-43m (No. 216) and the conventional cell measures 10.274, 10.274 and 10.274 Å, with angles of 90.00, 90.00 and 90.00 degrees. Symmetry generates all atoms from K at (0.124, 0.124, 0.124), Y at (0.000, 0.000, 0.500) and Pb at (0.250, 0.250, 0.750).

Magnetic moment for every record listed, in sequence, given in μB/f.u.: 0.0 0.0.
ΔH_f (0 K) for every record listed, in sequence, given in eV/atom: 0.081 0.465.